Crystalline IrOs2Ru at its relaxed geometry, computed with GGA-PBE.

```
IrOs2Ru
1.0
2.720 0.000 0.000
0.000 2.720 0.000
0.000 0.000 7.715
Ru Os Ir
1 2 1
direct
0.500 0.500 0.250
0.000 0.000 0.003
0.000 0.000 0.497
0.500 0.500 0.750
```

- Density of states at the Fermi level: 3.70 states/eV per cell
- Offset from the most stable computed form: 98 meV per atom
- Formation energy: 0.0851 eV/atom
- Space group: P4/mmm (123)
- Calculated total energy: -10.06 eV/atom